A:
First-principles (PBE-GGA) data for crystalline Na2AuBr5 at its relaxed geometry, as listed in the Alexandria database.

## Properties
Space-group type = Cmcm (63)
Total magnetic moment = 0.0 Bohr magnetons per cell
Calculated volume = 33.546 Å³/atom

a = 7.491 Å, b = 7.491 Å, c = 12.738 Å
α = 90.00°, β = 90.00°, γ = 131.33°
Sites, in units of the cell vectors:
Na1 0.176 0.824 0.581
Na2 0.176 0.824 0.919
Na3 0.824 0.176 0.081
Na4 0.824 0.176 0.419
Au1 0.185 0.815 0.250
Au2 0.815 0.185 0.750
Br1 0.054 0.946 0.110
Br2 0.054 0.946 0.390
Br3 0.310 0.690 0.750
Br4 0.317 0.683 0.106
Br5 0.317 0.683 0.394
Br6 0.683 0.317 0.606
Br7 0.683 0.317 0.894
Br8 0.690 0.310 0.250
Br9 0.946 0.054 0.610
Br10 0.946 0.054 0.890

B:
First-principles (PBE-GGA) data for crystalline Na2AuBr5 at its relaxed geometry, as listed in the Alexandria database.

## Properties
Space-group type = Cc (9)
Total magnetic moment = 0.0 Bohr magnetons per cell
Calculated volume = 35.258 Å³/atom

a = 9.071 Å, b = 9.071 Å, c = 12.149 Å
α = 125.51°, β = 125.51°, γ = 46.80°
Sites, in units of the cell vectors:
Na1 0.004 0.996 0.500
Na2 0.745 0.753 0.042
Na3 0.753 0.745 0.542
Na4 0.996 0.004 0.000
Au1 0.374 0.374 0.271
Au2 0.374 0.374 0.771
Br1 0.018 0.578 0.295
Br2 0.094 0.656 0.021
Br3 0.095 0.303 0.556
Br4 0.170 0.731 0.746
Br5 0.303 0.095 0.056
Br6 0.446 0.653 0.485
Br7 0.578 0.018 0.795
Br8 0.653 0.446 0.985
Br9 0.656 0.094 0.521
Br10 0.731 0.170 0.246

Compare the structures above. Which one is the most stable? B is.